The following is a PBE calculation of a geometry-optimized Ce2Nd3SmHo6 structure, from the Alexandria database.

a b c (Å): 6.195 6.195 11.744
angles (deg): 95.04 95.04 120.00
Element x y z (fractional)
Ce (0.167, 0.833, 0.000)
Ce (0.833, 0.167, 0.000)
Nd (0.000, 0.000, 0.500)
Nd (0.334, 0.666, 0.500)
Nd (0.666, 0.334, 0.500)
Sm (0.500, 0.500, 0.000)
Ho (0.082, 0.418, 0.754)
Ho (0.247, 0.247, 0.246)
Ho (0.418, 0.082, 0.754)
Ho (0.582, 0.918, 0.246)
Ho (0.753, 0.753, 0.754)
Ho (0.918, 0.582, 0.246)

Properties
Formation energy from the elements = 0.0453 eV per atom
M_tot = 1.9 Bohr magnetons per cell
Total energy = -57.81 eV/cell
SG = C2/m